DFT (PBE) results for an optimized crystal structure of CaAl4Re.

Summary:
Formation energy = 10 meV/atom
Density of states at the Fermi level = 0.30 states/eV per atom
Uncorrected energy = -117.44 eV for the cell shown

CIF file:
```
data_CaAl4Re
_cell_length_a 7.3999
_cell_length_b 7.3999
_cell_length_c 7.3999
_cell_angle_alpha 90.00
_cell_angle_beta 90.00
_cell_angle_gamma 90.00
_symmetry_space_group_name_H-M 'F -4 3 m'
_symmetry_Int_Tables_number 216
_symmetry_space_group_name_Hall 'F -4 2 3'
loop_
_atom_site_label
_atom_site_type_symbol
_atom_site_fract_x
_atom_site_fract_y
_atom_site_fract_z
_atom_site_occupancy
Ca1 Ca 0.0000 0.0000 0.0000 1
Al1 Al 0.1241 0.1241 0.3759 1
Re1 Re 0.2500 0.2500 0.7500 1
```